First-principles (PBE) data for an optimized crystal structure of CaMoH3, as listed in Alexandria via LeMat-Bulk.

a b c (Å): 3.798 3.798 3.798
angles (deg): 90.00 90.00 90.00
Space group Pm-3m (No. 221)
Inequivalent atoms, fractional coordinates:
Ca (0.000, 0.000, 0.000) x1
Mo (0.500, 0.500, 0.500) x1
H (0.000, 0.000, 0.500) x3

Computed properties:
Total DFT energy (no corrections): -3.656 eV per atom
Energy relative to the lowest polymorph listed for this composition: 1088 meV/atom
Calculated volume: 10.95 Å³ per atom
M_tot: 0.0 μB/cell